1.
The following is a DFT calculation (PBE) of Ce2PaZnN5 after structural relaxation.

Computed properties:
**Uncorrected formation energy**: -1.100 eV/atom
**Symmetry**: Cmc2_1

abc: 3.5164 7.0594 10.6837
angles: 90.00 90.00 104.42
Atoms (fractional coordinates):
1 Pa 0.1992 0.3985 0.9954
2 Pa 0.8008 0.6015 0.4954
3 Ce 0.8778 0.7557 0.7852
4 Ce 0.1179 0.2357 0.6793
5 Ce 0.8821 0.7643 0.1793
6 Ce 0.1222 0.2443 0.2852
7 Zn 0.4970 0.9940 0.4817
8 Zn 0.5030 0.0060 0.9817
9 N 0.5132 0.0264 0.2898
10 N 0.7104 0.4209 0.1387
11 N 0.0431 0.0862 0.0628
12 N 0.6424 0.2849 0.5350
13 N 0.7075 0.4150 0.8563
14 N 0.2925 0.5850 0.3563
15 N 0.3576 0.7151 0.0350
16 N 0.4868 0.9736 0.7898
17 N 0.9569 0.9138 0.5628
18 N 0.2896 0.5791 0.6387

=====

2.
The following is a DFT calculation (PBE) of PuSnRh4 after structural relaxation.

Computed properties:
**ΔH_f (0 K)**: -0.251 eV per atom
**Relative energy among the computed polymorphs**: 110 meV per atom
**Symmetry**: C2/c

abc: 4.5937 6.5306 7.7758
angles: 91.87 90.00 110.59
Atoms (fractional coordinates):
1 Rh 0.0370 0.8509 0.8891
2 Rh 0.0383 0.5923 0.1657
3 Rh 0.8139 0.8509 0.3891
4 Rh 0.5540 0.5923 0.6657
5 Rh 0.1861 0.1491 0.6109
6 Rh 0.4460 0.4077 0.3343
7 Rh 0.9617 0.4077 0.8343
8 Rh 0.9630 0.1491 0.1109
9 Sn 0.5000 0.5000 0.0000
10 Sn 0.0000 0.5000 0.5000
11 Pu 0.5837 0.0000 0.7500
12 Pu 0.4163 0.0000 0.2500